[1]
# NbCu2Re

NbCu2Re at its PBEsol-relaxed geometry (meta-GGA SCAN, Alexandria).

The value obtained for the calculated formation energy is 34.1 kJ per mole of atoms. The calculation puts the density of states at the Fermi level at 4.3 states/eV/cell.

Geometry as CIF:
```
data_NbCu2Re
_symmetry_space_group_name_H-M 'P 1'
_symmetry_Int_Tables_number 1
_cell_length_a 4.268
_cell_length_b 4.268
_cell_length_c 4.268
_cell_angle_alpha 60.00
_cell_angle_beta 60.00
_cell_angle_gamma 60.00
loop_
_symmetry_equiv_pos_as_xyz
'x,y,z'
loop_
_atom_site_label
_atom_site_type_symbol
_atom_site_fract_x
_atom_site_fract_y
_atom_site_fract_z
Re1 Re 0.500 0.500 0.500
Cu1 Cu 0.750 0.750 0.750
Cu2 Cu 0.250 0.250 0.250
Nb1 Nb 0.000 0.000 0.000
```


[2]
# TaNbCuRe2

TaNbCuRe2 at its PBEsol-relaxed geometry (meta-GGA SCAN, Alexandria).

The value obtained for the calculated formation energy is 202.8 kJ per mole of atoms. The calculation puts the density of states at the Fermi level at 4.4 states/eV/cell.

Geometry as CIF:
```
data_TaNbCuRe2
_symmetry_space_group_name_H-M 'P 1'
_symmetry_Int_Tables_number 1
_cell_length_a 4.442
_cell_length_b 4.660
_cell_length_c 4.660
_cell_angle_alpha 90.00
_cell_angle_beta 90.00
_cell_angle_gamma 90.00
loop_
_symmetry_equiv_pos_as_xyz
'x,y,z'
loop_
_atom_site_label
_atom_site_type_symbol
_atom_site_fract_x
_atom_site_fract_y
_atom_site_fract_z
Nb1 Nb 0.000 0.000 0.000
Re1 Re 0.000 0.500 0.000
Re2 Re 0.000 0.000 0.500
Cu1 Cu 0.500 0.000 0.000
Ta1 Ta 0.500 0.500 0.500
```


[3]
# Nb3CuRu

Nb3CuRu at its PBEsol-relaxed geometry (meta-GGA SCAN, Alexandria).

The value obtained for the calculated formation energy is 113.3 kJ per mole of atoms. The calculation puts the density of states at the Fermi level at 3.9 states/eV/cell.

Geometry as CIF:
```
data_Nb3CuRu
_symmetry_space_group_name_H-M 'P 1'
_symmetry_Int_Tables_number 1
_cell_length_a 4.714
_cell_length_b 4.714
_cell_length_c 4.714
_cell_angle_alpha 90.00
_cell_angle_beta 90.00
_cell_angle_gamma 90.00
loop_
_symmetry_equiv_pos_as_xyz
'x,y,z'
loop_
_atom_site_label
_atom_site_type_symbol
_atom_site_fract_x
_atom_site_fract_y
_atom_site_fract_z
Ru1 Ru 0.000 0.000 0.000
Nb1 Nb 0.000 0.500 0.000
Nb2 Nb 0.500 0.000 0.000
Nb3 Nb 0.000 0.000 0.500
Cu1 Cu 0.500 0.500 0.500
```


[4]
# NbCu3S

NbCu3S at its PBEsol-relaxed geometry (meta-GGA SCAN, Alexandria).

The calculation puts the density of states at the Fermi level at 3.0 states/eV/cell. The value obtained for the uncorrected formation energy is 0.71 eV/atom.

Geometry as CIF:
```
data_NbCu3S
_symmetry_space_group_name_H-M 'P 1'
_symmetry_Int_Tables_number 1
_cell_length_a 4.208
_cell_length_b 4.208
_cell_length_c 4.208
_cell_angle_alpha 90.00
_cell_angle_beta 90.00
_cell_angle_gamma 90.00
loop_
_symmetry_equiv_pos_as_xyz
'x,y,z'
loop_
_atom_site_label
_atom_site_type_symbol
_atom_site_fract_x
_atom_site_fract_y
_atom_site_fract_z
Cu1 Cu 0.500 0.000 0.000
Cu2 Cu 0.000 0.500 0.000
Cu3 Cu 0.000 0.000 0.500
Nb1 Nb 0.500 0.500 0.500
S1 S 0.000 0.000 0.000
```


[5]
# Nb2V3Cu15S20

Nb2V3Cu15S20 at its PBEsol-relaxed geometry (meta-GGA SCAN, Alexandria).

The value obtained for the uncorrected formation energy is -0.69 eV/atom.

Geometry as CIF:
```
data_Nb2V3Cu15S20
_symmetry_space_group_name_H-M 'P 1'
_symmetry_Int_Tables_number 1
_cell_length_a 5.350
_cell_length_b 5.350
_cell_length_c 26.740
_cell_angle_alpha 90.00
_cell_angle_beta 90.00
_cell_angle_gamma 90.00
loop_
_symmetry_equiv_pos_as_xyz
'x,y,z'
loop_
_atom_site_label
_atom_site_type_symbol
_atom_site_fract_x
_atom_site_fract_y
_atom_site_fract_z
Nb1 Nb 0.000 0.000 0.898
Nb2 Nb 0.000 0.000 0.102
Cu1 Cu 0.000 0.000 0.599
Cu2 Cu 0.500 0.000 0.500
Cu3 Cu 0.500 0.000 0.899
Cu4 Cu 0.000 0.500 0.302
Cu5 Cu 0.000 0.500 0.500
Cu6 Cu 0.000 0.000 0.401
Cu7 Cu 0.500 0.000 0.698
Cu8 Cu 0.000 0.500 0.698
Cu9 Cu 0.500 0.000 0.302
Cu10 Cu 0.000 0.000 0.797
Cu11 Cu 0.000 0.500 0.101
Cu12 Cu 0.000 0.000 0.203
Cu13 Cu 0.500 0.000 0.101
Cu14 Cu 0.000 0.000 0.000
Cu15 Cu 0.000 0.500 0.899
S1 S 0.762 0.238 0.651
S2 S 0.751 0.751 0.152
S3 S 0.762 0.762 0.349
S4 S 0.249 0.751 0.051
S5 S 0.762 0.238 0.453
S6 S 0.238 0.238 0.745
S7 S 0.751 0.751 0.949
S8 S 0.762 0.238 0.255
S9 S 0.238 0.762 0.453
S10 S 0.762 0.762 0.547
S11 S 0.751 0.249 0.848
S12 S 0.249 0.249 0.949
S13 S 0.249 0.249 0.152
S14 S 0.238 0.238 0.547
S15 S 0.249 0.751 0.848
S16 S 0.751 0.249 0.051
S17 S 0.762 0.762 0.745
S18 S 0.238 0.762 0.255
S19 S 0.238 0.762 0.651
S20 S 0.238 0.238 0.349
V1 V 0.000 0.000 0.698
V2 V 0.000 0.000 0.302
V3 V 0.000 0.000 0.500
```


[6]
# NbCuSb2Te

NbCuSb2Te at its PBEsol-relaxed geometry (meta-GGA SCAN, Alexandria).

The calculation puts the density of states at the Fermi level at 3.8 states/eV/cell. The value obtained for the uncorrected formation energy is 0.78 eV/atom.

Geometry as CIF:
```
data_NbCuSb2Te
_symmetry_space_group_name_H-M 'P 1'
_symmetry_Int_Tables_number 1
_cell_length_a 4.909
_cell_length_b 4.909
_cell_length_c 5.058
_cell_angle_alpha 90.00
_cell_angle_beta 90.00
_cell_angle_gamma 90.00
loop_
_symmetry_equiv_pos_as_xyz
'x,y,z'
loop_
_atom_site_label
_atom_site_type_symbol
_atom_site_fract_x
_atom_site_fract_y
_atom_site_fract_z
Sb1 Sb 0.000 0.500 0.000
Sb2 Sb 0.500 0.000 0.000
Te1 Te 0.000 0.000 0.500
Cu1 Cu 0.000 0.000 0.000
Nb1 Nb 0.500 0.500 0.500
```


Calculated energy in order - -33.30, -49.32, -28.71, -16.96, -14.17, -31.24 eV/atom